1.
Entry from Alexandria: a relaxed structure of Na4SbO5 (GGA-PBE).

The space group is I4 (No. 79) and the conventional cell measures 7.3676, 7.3676 and 5.0509 Å, with angles of 90.00, 90.00 and 90.00 degrees. The asymmetric unit holds Na at (0.0880, 0.2969, 0.0000), Sb at (0.0000, 0.0000, 0.4610), O at (0.0000, 0.0000, 0.0771) and O at (0.0755, 0.2542, 0.5290).

As for the formation energy from raw total energies: -1.463 eV per atom. As for the final energy: -4.8816 eV/atom. The value obtained for the volume is 13.7 Å³/atom. The calculation puts the density of states at the Fermi level at 1.6 states/eV/f.u.

---

2.
Entry from Alexandria: a relaxed structure of Ho3Al2Hg4 (GGA-PBE).

The space group is C2/m (No. 12) and the conventional cell measures 10.9465, 4.7513 and 8.9336 Å, with angles of 90.00, 116.85 and 90.00 degrees. The asymmetric unit holds Ho at (0.0000, 0.0000, 0.0000), Ho at (0.1631, 0.5000, 0.6739), Al at (0.1106, 0.5000, 0.2798), Hg at (0.0864, 0.0000, 0.4122) and Hg at (0.1924, 0.5000, 0.0362).

As for the final energy: -2.9188 eV/atom. The value obtained for the volume is 23.0 Å³/atom. The calculation puts the density of states at the Fermi level at 4.5 states/eV/f.u. The value obtained for the calculated formation energy is -0.43 eV/atom.

---

3.
Entry from Alexandria: a relaxed structure of Zn3FeBi (GGA-PBE).

The space group is Pm-3m (No. 221) and the conventional cell measures 4.6889, 4.6889 and 4.6889 Å, with angles of 90.00, 90.00 and 90.00 degrees. The asymmetric unit holds Zn at (0.0000, 0.0000, 0.5000), Fe at (0.0000, 0.0000, 0.0000) and Bi at (0.5000, 0.5000, 0.5000).

As for the final energy: -2.7720 eV/atom. The value obtained for the volume is 20.6 Å³/atom. The calculation puts the density of states at the Fermi level at 2.8 states/eV/f.u. The value obtained for the calculated formation energy is 0.46 eV/atom. The offset from the most stable computed form comes out at 0 meV/atom.

---

Across the entries above, ρ takes the values 3.56; 10.82; 7.43 g/cm3, respectively.